1.
# PBE TmZr3Sc6, relaxed
# * DFT total energy: -6.653 eV per atom
# * magnetic moment: 0.000 μB per atom
data_TmZr3Sc6
_chemical_formula_sum 'Tm4 Zr12 Sc24'
_symmetry_space_group_name_H-M 'C m c 21'
_symmetry_Int_Tables_number 36
_cell_length_a 10.006
_cell_length_b 16.732
_cell_length_c 5.882
_cell_angle_alpha 90.00
_cell_angle_beta 90.00
_cell_angle_gamma 90.00
loop_
_symmetry_equiv_pos_as_xyz
'x,y,z'
'-x,-y,z+1/2'
'-x,y,z'
'x,-y,z+1/2'
'x+1/2,y+1/2,z'
'-x+1/2,-y+1/2,z+1/2'
'-x+1/2,y+1/2,z'
'x+1/2,-y+1/2,z+1/2'
loop_
_atom_site_label
_atom_site_fract_x
_atom_site_fract_y
_atom_site_fract_z
Tm1 0.000 0.187 0.000
Zr1 0.000 0.385 0.920
Zr2 0.191 0.114 0.336
Sc1 0.000 0.034 0.699
Sc2 0.000 0.253 0.518
Sc3 0.166 0.457 0.416
Sc4 0.231 0.292 0.239

---

2.
# PBE Tm6ZrSc3, relaxed
# * DFT total energy: -5.282 eV per atom
# * magnetic moment: 0.000 μB per atom
data_Tm6ZrSc3
_chemical_formula_sum 'Tm24 Zr4 Sc12'
_symmetry_space_group_name_H-M 'C m c 21'
_symmetry_Int_Tables_number 36
_cell_length_a 10.288
_cell_length_b 18.103
_cell_length_c 6.018
_cell_angle_alpha 90.00
_cell_angle_beta 90.00
_cell_angle_gamma 90.00
loop_
_symmetry_equiv_pos_as_xyz
'x,y,z'
'-x,-y,z+1/2'
'-x,y,z'
'x,-y,z+1/2'
'x+1/2,y+1/2,z'
'-x+1/2,-y+1/2,z+1/2'
'-x+1/2,y+1/2,z'
'x+1/2,-y+1/2,z+1/2'
loop_
_atom_site_label
_atom_site_fract_x
_atom_site_fract_y
_atom_site_fract_z
Tm1 0.000 0.052 0.000
Tm2 0.000 0.294 0.230
Tm3 0.165 0.463 0.353
Tm4 0.243 0.203 0.028
Zr1 0.000 0.213 0.711
Sc1 0.000 0.384 0.790
Sc2 0.176 0.115 0.470

---

3.
# PBE Tm3ZrSc2, relaxed
# * ΔE to the lowest computed polymorph: 0.12 eV per formula unit
# * magnetic moment: 0.000 μB per atom
data_Tm3ZrSc2
_chemical_formula_sum 'Tm12 Zr4 Sc8'
_symmetry_space_group_name_H-M 'C 1 2/m 1'
_symmetry_Int_Tables_number 12
_cell_length_a 16.543
_cell_length_b 3.274
_cell_length_c 13.480
_cell_angle_alpha 90.00
_cell_angle_beta 116.27
_cell_angle_gamma 90.00
loop_
_symmetry_equiv_pos_as_xyz
'x,y,z'
'-x,-y,-z'
'-x,y,-z'
'x,-y,z'
'x+1/2,y+1/2,z'
'-x+1/2,-y+1/2,-z'
'-x+1/2,y+1/2,-z'
'x+1/2,-y+1/2,z'
loop_
_atom_site_label
_atom_site_fract_x
_atom_site_fract_y
_atom_site_fract_z
Tm1 0.034 0.000 0.221
Tm2 0.103 0.500 0.025
Tm3 0.246 0.500 0.302
Zr1 0.066 0.500 0.645
Sc1 0.150 0.500 0.468
Sc2 0.179 0.000 0.872

---

4.
# PBE TmZr14Sc, relaxed
# * DFT total energy: -8.106 eV per atom
# * magnetic moment: 0.000 μB per atom
data_TmZr14Sc
_chemical_formula_sum 'Tm2 Zr28 Sc2'
_symmetry_space_group_name_H-M 'A m m 2'
_symmetry_Int_Tables_number 38
_cell_length_a 9.984
_cell_length_b 7.448
_cell_length_c 10.179
_cell_angle_alpha 90.00
_cell_angle_beta 90.00
_cell_angle_gamma 90.00
loop_
_symmetry_equiv_pos_as_xyz
'x,y,z'
'-x,-y,z'
'-x,y,z'
'x,-y,z'
'x,y+1/2,z+1/2'
'-x,-y+1/2,z+1/2'
'-x,y+1/2,z+1/2'
'x,-y+1/2,z+1/2'
loop_
_atom_site_label
_atom_site_fract_x
_atom_site_fract_y
_atom_site_fract_z
Tm1 0.000 0.000 0.000
Zr1 0.000 0.206 0.718
Zr2 0.242 0.000 0.238
Zr3 0.254 0.213 0.518
Zr4 0.263 0.000 0.794
Zr5 0.500 0.000 0.032
Zr6 0.500 0.000 0.590
Zr7 0.500 0.212 0.311
Sc1 0.000 0.000 0.439